(1)
A plane-wave DFT calculation with PBE was carried out for Zn2AgB2Pt5 after structural relaxation.

a = 9.459 Å, b = 9.459 Å, c = 3.172 Å
α = 90.00°, β = 90.00°, γ = 90.00°
Atoms (fractional coordinates):
Zn 0.178 0.322 0.000
Zn 0.322 0.822 0.000
Zn 0.678 0.178 0.000
Zn 0.822 0.678 0.000
Ag 0.000 0.000 0.000
Ag 0.500 0.500 0.000
B 0.128 0.628 0.000
B 0.372 0.128 0.000
B 0.628 0.872 0.000
B 0.872 0.372 0.000
Pt 0.000 0.500 0.500
Pt 0.075 0.779 0.500
Pt 0.221 0.075 0.500
Pt 0.279 0.575 0.500
Pt 0.425 0.279 0.500
Pt 0.500 0.000 0.500
Pt 0.575 0.721 0.500
Pt 0.721 0.425 0.500
Pt 0.779 0.925 0.500
Pt 0.925 0.221 0.500

Output
Total DFT energy (no corrections) ... -101.45 eV for the cell shown
Crystal system ... tetragonal
V ... 283.8 Å³/cell

(2)
A plane-wave DFT calculation with PBE was carried out for U2RuPt after structural relaxation.

a = 3.990 Å, b = 8.501 Å, c = 4.472 Å
α = 90.00°, β = 90.14°, γ = 90.00°
Atoms (fractional coordinates):
U 0.250 0.020 0.212
U 0.250 0.480 0.212
U 0.750 0.520 0.788
U 0.750 0.980 0.788
Ru 0.250 0.750 0.758
Ru 0.750 0.250 0.242
Pt 0.250 0.250 0.717
Pt 0.750 0.750 0.283

Output
Total DFT energy (no corrections) ... -78.08 eV for the cell shown
Crystal system ... monoclinic
V ... 151.7 Å³/cell

Mass density? In order: 14.5 16.9 Mg/m³.
ΔE_f? In order: -170 -111 kJ/mol of formula units.